[1]
This record from the Alexandria database describes Sm2TmZn after structural relaxation. The functional is PBE.

Output
E_form: -0.6 eV per formula unit
Magnetization: 0.0 μB per formula unit
Energy above the lowest structure with this stoichiometry: 15 meV/atom

Cell: 3.6174 3.6174 8.6068 Å, 90.00 90.00 90.00°
Atoms (fractional coordinates):
Sm  0.0000  0.0000  0.7882
Sm  0.0000  0.0000  0.2118
Zn  0.5000  0.5000  0.0000
Tm  0.5000  0.5000  0.5000

=====

[2]
This record from the Alexandria database describes ZrTe after structural relaxation. The functional is PBE.

Output
Magnetization: 0.0 μB per formula unit
Raw formation energy: -0.87 eV per atom

Cell: 3.7956 7.0349 7.4325 Å, 90.00 90.00 90.00°
Atoms (fractional coordinates):
Te  0.2500  0.0725  0.7927
Te  0.2500  0.4275  0.2927
Zr  0.2500  0.8120  0.4916
Te  0.7500  0.9275  0.2073
Zr  0.7500  0.1880  0.5084
Zr  0.7500  0.3120  0.0084
Zr  0.2500  0.6880  0.9916
Te  0.7500  0.5725  0.7073

=====

[3]
This record from the Alexandria database describes AgBiPd3 after structural relaxation. The functional is PBE.

Output
E_form: 0.7 eV per formula unit
Magnetization: 0.0 μB per formula unit
Energy above the lowest structure with this stoichiometry: 324 meV/atom

Cell: 5.0472 6.7895 6.7895 Å, 120.00 90.00 90.00°
Atoms (fractional coordinates):
Pd  0.2500  0.7990  0.2010
Pd  0.7500  0.2011  0.4018
Bi  0.2500  0.3335  0.6665
Pd  0.7500  0.2010  0.7990
Pd  0.2500  0.7989  0.5982
Bi  0.7500  0.6665  0.3335
Ag  0.5000  0.0000  0.0000
Ag  0.0000  0.0000  0.0000
Pd  0.7500  0.5982  0.7989
Pd  0.2500  0.4018  0.2011

=====

[4]
This record from the Alexandria database describes Gd3MnGaS7 after structural relaxation. The functional is PBE.

Output
Magnetization: 26.0 μB per formula unit
Raw formation energy: -1.53 eV per atom

Cell: 9.7817 9.7817 6.1858 Å, 90.00 90.00 120.00°
Atoms (fractional coordinates):
Mn  0.0000  0.0000  0.0404
Gd  0.3778  0.2266  0.7308
Gd  0.7734  0.1513  0.7308
S  0.4280  0.5186  0.4963
S  0.1397  0.8972  0.8146
Gd  0.8487  0.6222  0.7308
Gd  0.1513  0.3778  0.2308
Ga  0.3333  0.6667  0.6545
Ga  0.6667  0.3333  0.1545
S  0.7576  0.8603  0.8146
S  0.0906  0.5720  0.4963
S  0.6667  0.3333  0.5214
S  0.3333  0.6667  0.0214
Gd  0.2266  0.8487  0.2308
S  0.4814  0.9094  0.4963
Mn  0.0000  0.0000  0.5404
S  0.9094  0.4280  0.9963
Gd  0.6222  0.7734  0.2308
S  0.5186  0.0906  0.9963
S  0.8603  0.1028  0.3146
S  0.5720  0.4814  0.9963
S  0.1028  0.2424  0.8146
S  0.2424  0.1397  0.3146
S  0.8972  0.7576  0.3146

=====

[5]
This record from the Alexandria database describes Sc3MnSe after structural relaxation. The functional is PBE.

Output
Magnetization: 0.0 μB per formula unit
Energy above the lowest structure with this stoichiometry: 285 meV/atom
Raw formation energy: 0.26 eV per atom

Cell: 4.9249 4.9249 4.9249 Å, 90.00 90.00 90.00°
Atoms (fractional coordinates):
Se  0.0000  0.0000  0.0000
Sc  0.0000  0.0000  0.5000
Mn  0.5000  0.5000  0.5000
Sc  0.5000  0.0000  0.0000
Sc  0.0000  0.5000  0.0000

=====

[6]
This record from the Alexandria database describes AcNdNiBr after structural relaxation. The functional is PBE.

Output
Magnetization: 0.0 μB per formula unit
Raw formation energy: -0.80 eV per atom

Cell: 4.1847 4.1845 8.3995 Å, 90.00 104.43 120.01°
Atoms (fractional coordinates):
Nd  0.0988  0.9473  0.0613
Ni  0.3110  0.5534  0.8798
Ac  0.5098  0.1528  0.6778
Br  0.9583  0.3773  0.3508

=====

[7]
This record from the Alexandria database describes Rb2LiHf after structural relaxation. The functional is PBE.

Output
E_form: 5.1 eV per formula unit
Magnetization: 2.7 μB per formula unit
Energy above the lowest structure with this stoichiometry: 39 meV/atom

Cell: 10.2215 10.2215 8.0159 Å, 50.39 50.39 90.00°
Atoms (fractional coordinates):
Hf  0.7500  0.2500  0.5000
Rb  0.3750  0.4133  0.7500
Rb  0.8750  0.8367  0.7500
Rb  0.1633  0.6250  0.2500
Rb  0.5867  0.1250  0.2500
Li  0.5000  0.5000  0.0000
Li  0.2500  0.7500  0.5000
Hf  0.0000  0.0000  0.0000

=====

[8]
This record from the Alexandria database describes AsRu after structural relaxation. The functional is PBE.

Output
E_form: 0.2 eV per formula unit
Magnetization: 0.0 μB per formula unit

Cell: 3.8732 3.8732 3.8732 Å, 60.00 60.00 60.00°
Atoms (fractional coordinates):
Ru  0.7500  0.7500  0.7500
As  0.0000  0.0000  0.0000

=====

[9]
This record from the Alexandria database describes TaAgBi3 after structural relaxation. The functional is PBE.

Output
E_form: 6.5 eV per formula unit
Magnetization: 2.5 μB per formula unit
Energy above the lowest structure with this stoichiometry: 657 meV/atom

Cell: 5.4027 5.4027 5.4027 Å, 90.00 90.00 90.00°
Atoms (fractional coordinates):
Ta  0.5000  0.5000  0.5000
Ag  0.0000  0.0000  0.0000
Bi  0.5000  0.0000  0.0000
Bi  0.0000  0.0000  0.5000
Bi  0.0000  0.5000  0.0000

=====

[10]
This record from the Alexandria database describes TcS after structural relaxation. The functional is PBE.

Output
Magnetization: 0.0 μB per formula unit
Energy above the lowest structure with this stoichiometry: 280 meV/atom
Raw formation energy: -0.11 eV per atom

Cell: 8.2051 4.2383 5.5892 Å, 90.00 90.00 90.00°
Atoms (fractional coordinates):
Tc  0.0000  0.6606  0.5322
Tc  0.7556  0.1251  0.3847
S  0.5000  0.0047  0.7052
Tc  0.2444  0.1251  0.3847
Tc  0.5000  0.3394  0.0322
S  0.6890  0.6169  0.2476
Tc  0.7444  0.8749  0.8847
S  0.1890  0.3831  0.7476
Tc  0.2556  0.8749  0.8847
S  0.8110  0.3831  0.7476
S  0.3110  0.6169  0.2476
S  0.0000  0.9953  0.2052

=====

[11]
This record from the Alexandria database describes RbCdPOs after structural relaxation. The functional is PBE.

Output
E_form: -1.0 eV per formula unit
Magnetization: 0.0 μB per formula unit

Cell: 4.0401 4.0401 13.5166 Å, 90.00 90.00 90.00°
Atoms (fractional coordinates):
Cd  0.7500  0.2500  0.5000
Cd  0.2500  0.7500  0.5000
P  0.7500  0.7500  0.9092
Os  0.2500  0.7500  0.0000
P  0.2500  0.2500  0.0908
Rb  0.2500  0.2500  0.7620
Rb  0.7500  0.7500  0.2380
Os  0.7500  0.2500  0.0000

=====

[12]
This record from the Alexandria database describes NdCd5Pd after structural relaxation. The functional is PBE.

Output
E_form: -2.1 eV per formula unit
Magnetization: 0.0 μB per formula unit

Cell: 4.7810 4.7810 7.3812 Å, 90.00 90.00 90.00°
Atoms (fractional coordinates):
Nd  0.0000  0.0000  0.0000
Cd  0.0000  0.5000  0.7016
Cd  0.5000  0.0000  0.7016
Cd  0.5000  0.5000  0.0000
Cd  0.5000  0.0000  0.2984
Cd  0.0000  0.5000  0.2984
Pd  0.0000  0.0000  0.5000

=====

> magnetization of number 2 (ZrTe)?

0.0 μB per formula unit

=====

> Which value of magnetization does entry 2 give?

0.0 μB per formula unit